(1)
## Cr2ReGeI (PBE-GGA)

Data for Cr2ReGeI after structural relaxation.

Geometry as extended XYZ:
```
5
Lattice="4.927 0.000 0.000 0.000 4.927 0.000 0.000 0.000 4.991" Properties=species:S:1:pos:R:3 pbc="T T T"
Cr 0.000 2.463 0.000
Cr 2.463 0.000 0.000
Re 0.000 0.000 2.495
Ge 2.463 2.463 2.495
I 0.000 0.000 0.000
```

---

(2)
## CrReGe2I (PBE-GGA)

Data for CrReGe2I after structural relaxation.

Geometry as extended XYZ:
```
5
Lattice="4.621 0.000 0.000 0.000 4.621 0.000 0.000 0.000 5.448" Properties=species:S:1:pos:R:3 pbc="T T T"
Cr 0.000 0.000 0.000
Re 2.310 2.310 2.724
Ge 0.000 2.310 0.000
Ge 2.310 0.000 0.000
I 0.000 0.000 2.724
```

---

Listing E_tot for the structures above in their given order: -5.5849, -5.1225 eV/atom.
Listing E_form (uncorrected) for the structures above in their given order: 1.988, 1.449 eV per atom.
Listing N(E_F) for the structures above in their given order: 4.24, 3.99 states/eV/cell.